An optimized crystal structure of Cu2HgH2, computed with PBE-GGA.

## Properties
Its calculated volume is 67 Å³/f.u. The final energy is -14.32 eV per cell.

Cell: 6.0707 6.0707 6.0707 Å, 146.87 146.87 47.56°
Last column: nearest neighbours and their distance in Å.
Fractional coordinates of all 5 atoms:
Cu: 0.2500 0.7500 0.5000  4 H 1.80
Cu: 0.7500 0.2500 0.5000  4 H 1.80
Hg: 0.0000 0.0000 0.0000  8 Cu 3.27, 10 H 3.28-3.34, 4 Hg 3.46
H: 0.2949 0.2949 0.0000  4 Cu 1.80
H: 0.7051 0.7051 0.0000  4 Cu 1.80